First-principles (PBE) data for a relaxed CsU2HO5 crystal, as listed in Alexandria via LeMat-Bulk.

Structure (POSCAR):
```
CsU2HO5
1.0
4.285 0.000 0.000
0.000 4.285 0.000
0.000 0.000 8.800
Cs U H O
1 2 1 5
Cartesian
0.000 0.000 0.000
2.142 2.142 2.221
2.142 2.142 6.579
2.142 2.142 4.400
0.000 2.142 2.254
0.000 2.142 6.546
2.142 0.000 2.254
2.142 0.000 6.546
2.142 2.142 0.000
```

size of the total moment: 2.00 μB/cell
density of states at the Fermi level: 3.184 states/eV/cell
DFT total energy: -8.221 eV/atom

---

First-principles (PBE) data for a relaxed Y5Tl3 crystal, as listed in Alexandria via LeMat-Bulk.

Structure (POSCAR):
```
Y5Tl3
1.0
-6.107 6.107 3.078
6.107 -6.107 3.078
6.107 6.107 -3.078
Y Tl
10 6
Cartesian
9.549 1.001 0.000
1.001 2.664 0.000
6.107 0.000 1.539
7.107 3.443 0.000
3.443 5.106 0.000
2.664 1.001 3.078
-1.001 2.664 3.078
0.000 6.107 1.539
5.106 3.443 3.078
-3.443 5.106 3.078
4.130 1.977 0.000
0.000 0.000 1.539
4.130 -1.977 3.078
1.977 8.084 0.000
0.000 0.000 4.617
1.977 4.130 3.078
```

size of the total moment: 0.00 μB/cell
energy above the lowest structure with this stoichiometry: 0.02 eV/f.u.
density of states at the Fermi level: 12.847 states/eV/cell
DFT total energy: -5.277 eV/atom
energy of formation: -0.350 eV/atom

---

First-principles (PBE) data for a relaxed La3Tb3TlHg2 crystal, as listed in Alexandria via LeMat-Bulk.

Structure (POSCAR):
```
La3Tb3TlHg2
1.0
9.059 0.000 0.000
-4.530 7.846 0.000
0.000 0.000 3.900
La Tb Tl Hg
3 3 1 2
Cartesian
-1.313 2.274 0.000
2.625 0.000 0.000
3.217 5.572 0.000
-2.778 4.812 1.950
1.751 3.033 1.950
5.557 0.000 1.950
0.000 0.000 1.950
0.000 5.230 0.000
4.530 2.615 0.000
```

size of the total moment: 0.00 μB/cell
density of states at the Fermi level: 12.337 states/eV/cell
DFT total energy: -3.741 eV/atom
energy of formation: -0.225 eV/atom

---

DFT total energy of number 3 (La3Tb3TlHg2)?
-3.741 eV/atom